Entry 1:
The following is a PBE calculation of a relaxed structure of ScZnGaPd, from OQMD via LeMat-Bulk.

## Properties
Calculated total energy (eV per atom): -4.530

Cell: 6.429 6.429 6.429 Å, 90.00 90.00 90.00°
Space group F-43m (No. 216)
Unique sites:
Sc 0.000 0.000 0.000 (multiplicity 4)
Zn 0.000 0.000 0.500 (multiplicity 4)
Ga 0.250 0.250 0.250 (multiplicity 4)
Pd 0.250 0.250 0.750 (multiplicity 4)

***

Entry 2:
The following is a PBE calculation of a relaxed structure of ScZnGaPd, from OQMD via LeMat-Bulk.

## Properties
Calculated total energy (eV per atom): -4.571

Cell: 6.369 6.369 6.369 Å, 90.00 90.00 90.00°
Space group F-43m (No. 216)
Unique sites:
Sc 0.000 0.000 0.000 (multiplicity 4)
Zn 0.250 0.250 0.750 (multiplicity 4)
Ga 0.250 0.250 0.250 (multiplicity 4)
Pd 0.000 0.000 0.500 (multiplicity 4)

***

Entry 3:
The following is a PBE calculation of a relaxed structure of ScZnGaPd, from OQMD via LeMat-Bulk.

## Properties
Calculated total energy (eV per atom): -4.555

Cell: 6.393 6.393 6.393 Å, 90.00 90.00 90.00°
Space group F-43m (No. 216)
Unique sites:
Sc 0.000 0.000 0.000 (multiplicity 4)
Zn 0.250 0.250 0.250 (multiplicity 4)
Ga 0.000 0.000 0.500 (multiplicity 4)
Pd 0.250 0.250 0.750 (multiplicity 4)

***

Entry 4:
The following is a PBE calculation of a relaxed structure of ScZnGa2Pd4, from OQMD via LeMat-Bulk.

## Properties
Calculated total energy (eV per atom): -5.011

Cell: 4.437 4.437 6.308 Å, 90.00 90.00 90.00°
Space group P4/mmm (No. 123)
Unique sites:
Sc 0.000 0.000 0.000 (multiplicity 1)
Zn 0.500 0.500 0.500 (multiplicity 1)
Ga 0.000 0.000 0.500 (multiplicity 1)
Ga 0.500 0.500 0.000 (multiplicity 1)
Pd 0.000 0.500 0.260 (multiplicity 4)

***

Entry 5:
The following is a PBE calculation of a relaxed structure of GaSi2Pd2, from OQMD via LeMat-Bulk.

## Properties
Calculated total energy (eV per atom): -5.127

Cell: 4.067 4.067 10.114 Å, 90.00 90.00 90.00°
Space group I4/mmm (No. 139)
Unique sites:
Ga 0.000 0.000 0.000 (multiplicity 2)
Si 0.000 0.000 0.386 (multiplicity 4)
Pd 0.000 0.500 0.250 (multiplicity 4)

***

Entry 6:
The following is a PBE calculation of a relaxed structure of SmGaSiPd2, from OQMD via LeMat-Bulk.

## Properties
Calculated total energy (eV per atom): -5.594

Cell: 4.238 4.238 10.274 Å, 90.00 90.00 90.00°
Space group P4/nmm (No. 129, origin choice 2)
Unique sites:
Sm 0.250 0.250 0.248 (multiplicity 2)
Ga 0.250 0.750 0.500 (multiplicity 2)
Si 0.250 0.250 0.873 (multiplicity 2)
Pd 0.250 0.250 0.642 (multiplicity 2)
Pd 0.250 0.750 0.000 (multiplicity 2)

***

Entry 7:
The following is a PBE calculation of a relaxed structure of SrGaSiPd2, from OQMD via LeMat-Bulk.

## Properties
Calculated total energy (eV per atom): -4.847

Cell: 4.384 4.384 10.223 Å, 90.00 90.00 90.00°
Space group P4/nmm (No. 129, origin choice 2)
Unique sites:
Sr 0.250 0.250 0.247 (multiplicity 2)
Ga 0.250 0.750 0.500 (multiplicity 2)
Si 0.250 0.250 0.884 (multiplicity 2)
Pd 0.250 0.250 0.642 (multiplicity 2)
Pd 0.250 0.750 0.000 (multiplicity 2)

***

Entry 8:
The following is a PBE calculation of a relaxed structure of TbGaSiPd2, from OQMD via LeMat-Bulk.

## Properties
Calculated total energy (eV per atom): -5.571

Cell: 4.178 4.178 10.352 Å, 90.00 90.00 90.00°
Space group P4/nmm (No. 129, origin choice 2)
Unique sites:
Tb 0.250 0.250 0.247 (multiplicity 2)
Ga 0.250 0.750 0.500 (multiplicity 2)
Si 0.250 0.250 0.872 (multiplicity 2)
Pd 0.250 0.250 0.644 (multiplicity 2)
Pd 0.250 0.750 0.000 (multiplicity 2)